DFT (PBE-GGA) results for a geometry-optimized LaDy4Sb5 structure.

Geometry as POSCAR:
```
LaDy4Sb5
1.0
-3.926 -1.841 -0.927
2.895 -5.277 -1.786
-0.124 -0.300 11.723
Sb Dy La
5 4 1
Direct
0.395 0.895 0.790
0.199 0.699 0.398
0.000 0.500 0.000
0.801 0.301 0.602
0.605 0.105 0.210
0.601 0.601 0.201
0.399 0.399 0.799
0.203 0.203 0.406
0.797 0.797 0.594
0.000 0.000 0.000
```

Values from the calculation:
The uncorrected formation energy is -1.150 eV per atom. As for the density of states at the Fermi level: 1.93 states/eV per cell. Its space-group type is Immm (71).